Entry 1:
## Li3Nd3Ag8 (PBE-GGA)

Data for a geometry-optimized Li3Nd3Ag8 structure.

Results
E_form ... -0.21 eV/atom

a b c (Å): 4.7223 9.3941 13.5392
angles (deg): 90.00 90.00 90.00
With the nearest neighbours (Å) after each atom.
Space group Immm (No. 71)
Unique sites:
Li: 0.0000 0.0000 0.0000 (multiplicity 2)  4 Ag 2.53
Li: 0.0000 0.3086 0.5000 (multiplicity 4)  6 Ag 2.66-2.89, 2 Li 2.97
Nd: 0.0000 0.5000 0.0000 (multiplicity 2)  12 Ag 3.25-3.51
Nd: 0.0000 0.5000 0.2846 (multiplicity 4)  12 Ag 3.20-3.55, 2 Li 3.43
Ag: 0.0000 0.1480 0.3378 (multiplicity 8)  1 Li 2.66, 4 Ag 2.78-2.95
Ag: 0.0000 0.2027 0.1232 (multiplicity 8)  1 Li 2.53, 2 Ag 2.80

---

Entry 2:
## Si2PbAu (PBE-GGA)

Data for a geometry-optimized Si2PbAu structure.

Results
Uncorrected formation energy ... 0.507 eV/atom

a b c (Å): 4.2988 4.2988 4.4468
angles (deg): 90.00 90.00 90.00
With the nearest neighbours (Å) after each atom.
Space group P4/mmm (No. 123)
Unique sites:
Si: 0.0000 0.5000 0.0000 (multiplicity 2)  4 Si 3.04, 4 Pb 3.09, 4 Au 3.09
Pb: 0.0000 0.0000 0.5000 (multiplicity 1)  4 Au 3.04, 8 Si 3.09
Au: 0.5000 0.5000 0.5000 (multiplicity 1)  4 Pb 3.04, 8 Si 3.09

---

Entry 3:
## RbHgPt2 (PBE-GGA)

Data for a geometry-optimized RbHgPt2 structure.

Results
E_form ... 0.07 eV/atom

a b c (Å): 5.1025 5.1025 18.9756
angles (deg): 90.00 90.00 90.00
With the nearest neighbours (Å) after each atom.
Space group I-42d (No. 122)
Unique sites:
Rb: 0.0000 0.0000 0.0000 (multiplicity 4)  8 Pt 3.56-3.87, 4 Hg 3.61
Hg: 0.0000 0.0000 0.5000 (multiplicity 4)  4 Pt 2.70
Pt: 0.0447 0.2500 0.6250 (multiplicity 8)  2 Pt 2.59, 2 Hg 2.70

---

Entry 4:
## SrEuRh (PBE-GGA)

Data for a geometry-optimized SrEuRh structure.

Results
Excess energy over the best structure of this formula in the dataset ... 29.8 meV/atom
E_form ... -0.19 eV/atom

a b c (Å): 7.1992 7.1992 7.1992
angles (deg): 90.00 90.00 90.00
With the nearest neighbours (Å) after each atom.
Space group F-43m (No. 216)
Unique sites:
Sr: 0.0000 0.0000 0.0000 (multiplicity 4)  4 Rh 3.12
Eu: 0.0000 0.0000 0.5000 (multiplicity 4)  4 Rh 3.12
Rh: 0.2500 0.2500 0.7500 (multiplicity 4)  4 Sr 3.12, 4 Eu 3.12

---

Entry 5:
## La2Sc2C (PBE-GGA)

Data for a geometry-optimized La2Sc2C structure.

Results
Excess energy over the best structure of this formula in the dataset ... 0.0 meV/atom
E_form ... 0.27 eV/atom

a b c (Å): 6.3551 6.3551 6.1718
angles (deg): 90.00 90.00 90.00
With the nearest neighbours (Å) after each atom.
Space group P4/mbm (No. 127)
Unique sites:
La: 0.1649 0.3351 0.0000 (multiplicity 4)  1 La 2.96
Sc: 0.1918 0.6918 0.5000 (multiplicity 4)  2 C 2.31
C: 0.0000 0.0000 0.5000 (multiplicity 2)  4 Sc 2.31

---

Entry 6:
## KSn (PBE-GGA)

Data for a geometry-optimized KSn structure.

Results
E_form ... -0.14 eV/atom

a b c (Å): 6.5555 10.5895 17.5434
angles (deg): 90.00 90.00 90.00
With the nearest neighbours (Å) after each atom.
Space group Fddd (No. 70, origin choice 2)
Unique sites:
K: 0.1250 0.2894 0.1250 (multiplicity 16)  3 K 3.48-3.75, 4 Sn 3.52-3.82
Sn: 0.1250 0.1250 0.5448 (multiplicity 16)  1 Sn 2.81

---

Entry 7:
## BeBTe2I (PBE-GGA)

Data for a geometry-optimized BeBTe2I structure.

Results
Excess energy over the best structure of this formula in the dataset ... 0.0 meV/atom
Uncorrected formation energy ... 1.119 eV/atom

a b c (Å): 4.9251 4.9251 4.8790
angles (deg): 90.00 90.00 90.00
With the nearest neighbours (Å) after each atom.
Space group P4/mmm (No. 123)
Unique sites:
Be: 0.0000 0.0000 0.0000 (multiplicity 1)  8 Te 3.47, 4 I 3.48
B: 0.5000 0.5000 0.5000 (multiplicity 1)  2 I 2.44, 4 Te 2.46
Te: 0.0000 0.5000 0.5000 (multiplicity 2)  2 B 2.46
I: 0.5000 0.5000 0.0000 (multiplicity 1)  2 B 2.44

---

Entry 8:
## MgBeIn2 (PBE-GGA)

Data for a geometry-optimized MgBeIn2 structure.

Results
Excess energy over the best structure of this formula in the dataset ... 40.3 meV/atom
E_form ... 0.27 eV/atom

a b c (Å): 3.2713 3.2713 27.2654
angles (deg): 90.00 90.00 120.00
With the nearest neighbours (Å) after each atom.
Space group R3m (No. 160, hexagonal axes)
Unique sites:
Mg: 0.0000 0.0000 0.0000 (multiplicity 3)  3 Be 2.69
Be: 0.0000 0.0000 0.2630 (multiplicity 3)  3 In 2.69, 3 Mg 2.69
In: 0.0000 0.0000 0.5261 (multiplicity 3)  3 Be 2.69
In: 0.0000 0.0000 0.7600 (multiplicity 3)  3 Mg 3.17, 9 In 3.27-3.30

---

Entry 9:
## TePtSe2 (PBE-GGA)

Data for a geometry-optimized TePtSe2 structure.

Results
Uncorrected formation energy ... 0.275 eV/atom

a b c (Å): 3.0518 3.0518 10.8819
angles (deg): 90.00 90.00 90.00
With the nearest neighbours (Å) after each atom.
Space group P4/mmm (No. 123)
Unique sites:
Te: 0.0000 0.0000 0.0000 (multiplicity 1)  4 Te 3.05
Pt: 0.0000 0.0000 0.5000 (multiplicity 1)  8 Se 2.75, 4 Pt 3.05
Se: 0.5000 0.5000 0.3429 (multiplicity 2)  4 Pt 2.75, 4 Se 3.05

---

Entry 10:
## NpZn2Ge (PBE-GGA)

Data for a geometry-optimized NpZn2Ge structure.

Results
Excess energy over the best structure of this formula in the dataset ... 0.0 meV/atom
E_form ... -0.01 eV/atom

a b c (Å): 4.1323 4.1323 4.5324
angles (deg): 90.00 90.00 90.00
With the nearest neighbours (Å) after each atom.
Space group P4/mmm (No. 123)
Unique sites:
Np: 0.0000 0.0000 0.0000 (multiplicity 1)  4 Ge 2.92, 8 Zn 3.07
Zn: 0.0000 0.5000 0.5000 (multiplicity 2)  4 Zn 2.92, 4 Ge 3.07, 4 Np 3.07
Ge: 0.5000 0.5000 0.0000 (multiplicity 1)  4 Np 2.92, 8 Zn 3.07

---

Entry 11:
## Rb6HgF12 (PBE-GGA)

Data for a geometry-optimized Rb6HgF12 structure.

Results
Uncorrected formation energy ... -1.995 eV/atom

a b c (Å): 11.8012 11.8012 11.0030
angles (deg): 90.00 90.00 120.00
With the nearest neighbours (Å) after each atom.
Space group R-3 (No. 148, hexagonal axes)
Unique sites:
Rb: 0.0644 0.5811 0.3199 (multiplicity 18)  7 F 2.80-2.97
Hg: 0.0000 0.0000 0.0000 (multiplicity 3)  6 F 2.19
F: 0.0416 0.8672 0.8952 (multiplicity 18)  1 Hg 2.19
F: 0.0698 0.5806 0.0564 (multiplicity 18)  1 F 2.18

---

Entry 12:
## YTlP2O6 (PBE-GGA)

Data for a geometry-optimized YTlP2O6 structure.

Results
Uncorrected formation energy ... -2.361 eV/atom

a b c (Å): 7.6947 11.1708 8.4474
angles (deg): 90.00 95.31 90.00
With the nearest neighbours (Å) after each atom.
Space group C2/c (No. 15)
Unique sites:
Y: 0.0000 0.1634 0.2500 (multiplicity 4)  6 O 2.24-2.31
Tl: 0.0000 0.4178 0.7500 (multiplicity 4)  2 O 2.66
P: 0.1210 0.1322 0.6855 (multiplicity 8)  3 O 1.53-1.55
O: 0.0683 0.1692 0.5133 (multiplicity 8)  1 P 1.53
O: 0.1748 0.0014 0.2039 (multiplicity 8)  1 P 1.55
O: 0.2354 0.2854 0.2342 (multiplicity 8)  1 P 1.55

---

Here are the calculated energy numbers, same order: -3.267 -3.951 -3.265 -6.631 -6.080 -2.688 -2.529 -2.430 -3.763 -5.036 -3.499 -7.301 (eV/atom).
Here are the calculated total magnetization numbers, same order: 0.00 0.00 0.00 7.35 0.00 0.00 0.00 0.00 0.00 4.08 4.00 0.00 (μB per formula unit).